# 1
The following is a DFT calculation (PBE-GGA) of Sr2SiBRh after structural relaxation.

Cell lengths 5.9001, 5.9001, 3.6292 Å; angles 90.00, 90.00, 90.00 degrees
Atoms (fractional coordinates):
Sr 0.0000 0.5000 0.0000
Sr 0.5000 0.0000 0.0000
Si 0.0000 0.0000 0.0000
B 0.0000 0.0000 0.5000
Rh 0.5000 0.5000 0.5000

Values from the calculation:
VASP energy (eV per atom): -4.142
Total magnetic moment (μB/atom): 0.000
DOS at the Fermi energy (states/eV/f.u.): 3.20



# 2
The following is a DFT calculation (PBE-GGA) of CsRb6 after structural relaxation.

Cell lengths 15.1857, 9.3182, 19.1398 Å; angles 90.00, 90.00, 90.00 degrees
Atoms (fractional coordinates):
Cs 0.2502 0.2500 0.0703
Cs 0.2498 0.7500 0.5703
Cs 0.7502 0.2500 0.4297
Cs 0.7498 0.7500 0.9297
Rb 0.0512 0.2500 0.5783
Rb 0.0644 0.5089 0.8070
Rb 0.0644 0.9911 0.8070
Rb 0.1056 0.7500 0.0210
Rb 0.1404 0.2500 0.3494
Rb 0.1899 0.7500 0.2621
Rb 0.3101 0.2500 0.7621
Rb 0.3596 0.7500 0.8494
Rb 0.3944 0.2500 0.5210
Rb 0.4356 0.0089 0.3070
Rb 0.4356 0.4911 0.3070
Rb 0.4488 0.7500 0.0783
Rb 0.5512 0.2500 0.9217
Rb 0.5644 0.5089 0.6930
Rb 0.5644 0.9911 0.6930
Rb 0.6056 0.7500 0.4790
Rb 0.6404 0.2500 0.1506
Rb 0.6899 0.7500 0.2379
Rb 0.8101 0.2500 0.7379
Rb 0.8596 0.7500 0.6506
Rb 0.8944 0.2500 0.9790
Rb 0.9356 0.0089 0.1930
Rb 0.9356 0.4911 0.1930
Rb 0.9488 0.7500 0.4217

Values from the calculation:
Total magnetic moment (μB/atom): 0.000
Distance to the lowest polymorph of the same formula (meV/atom): 0
ΔH_f (0 K) (eV/atom): 0.030
DOS at the Fermi energy (states/eV/f.u.): 6.38



# 3
The following is a DFT calculation (PBE-GGA) of Pm4DyTl3 after structural relaxation.

Cell lengths 9.8615, 9.8615, 9.8615 Å; angles 32.31, 32.31, 32.31 degrees
Atoms (fractional coordinates):
Pm 0.1130 0.1130 0.1130
Pm 0.3688 0.3688 0.3688
Pm 0.6312 0.6312 0.6312
Pm 0.8870 0.8870 0.8870
Dy 0.5000 0.5000 0.5000
Tl 0.0000 0.0000 0.0000
Tl 0.2345 0.2345 0.2345
Tl 0.7655 0.7655 0.7655

Values from the calculation:
Total magnetic moment (μB/atom): 0.215
ΔH_f (0 K) (eV/atom): -0.239
DOS at the Fermi energy (states/eV/f.u.): 10.59



# 4
The following is a DFT calculation (PBE-GGA) of Cs2RbGaCl after structural relaxation.

Cell lengths 8.0955, 8.0955, 5.7689 Å; angles 90.00, 90.00, 90.00 degrees
Atoms (fractional coordinates):
Cs 0.0000 0.5000 0.0000
Cs 0.5000 0.0000 0.0000
Rb 0.0000 0.0000 0.0000
Ga 0.5000 0.5000 0.5000
Cl 0.0000 0.0000 0.5000

Values from the calculation:
VASP energy (eV per atom): -1.725
Total magnetic moment (μB/atom): 0.188
DOS at the Fermi energy (states/eV/f.u.): 7.64



# 5
The following is a DFT calculation (PBE-GGA) of Nd2GaGe after structural relaxation.

Cell lengths 4.3302, 4.3302, 21.3544 Å; angles 90.00, 90.00, 120.00 degrees
Atoms (fractional coordinates):
Nd 0.0000 0.0000 0.2422
Nd 0.0000 0.0000 0.7578
Nd 0.3333 0.6667 0.4245
Nd 0.3333 0.6667 0.9089
Nd 0.6667 0.3333 0.0911
Nd 0.6667 0.3333 0.5755
Ga 0.0000 0.0000 0.0000
Ga 0.3333 0.6667 0.6667
Ga 0.6667 0.3333 0.3333
Ge 0.0000 0.0000 0.5000
Ge 0.3333 0.6667 0.1667
Ge 0.6667 0.3333 0.8333

Values from the calculation:
Total magnetic moment (μB/atom): 0.000
ΔH_f (0 K) (eV/atom): -0.507
DOS at the Fermi energy (states/eV/f.u.): 4.20



# 6
The following is a DFT calculation (PBE-GGA) of HfReSeN2 after structural relaxation.

Cell lengths 3.9304, 3.9304, 5.1510 Å; angles 90.00, 90.00, 90.00 degrees
Atoms (fractional coordinates):
Hf 0.0000 0.0000 0.0000
Re 0.5000 0.5000 0.0000
Se 0.0000 0.0000 0.5000
N 0.0000 0.5000 0.5000
N 0.5000 0.0000 0.5000

Values from the calculation:
Total magnetic moment (μB/atom): 0.346
Distance to the lowest polymorph of the same formula (meV/atom): 1739
DOS at the Fermi energy (states/eV/f.u.): 4.78



# 7
The following is a DFT calculation (PBE-GGA) of Nd2BiS5 after structural relaxation.

Cell lengths 7.5261, 7.5261, 13.4257 Å; angles 90.00, 90.00, 137.72 degrees
Atoms (fractional coordinates):
Nd 0.1561 0.8439 0.5691
Nd 0.1561 0.8439 0.9309
Nd 0.8439 0.1561 0.0691
Nd 0.8439 0.1561 0.4309
Bi 0.1653 0.8347 0.2500
Bi 0.8347 0.1653 0.7500
S 0.0403 0.9597 0.1019
S 0.0403 0.9597 0.3981
S 0.2719 0.7281 0.7500
S 0.2944 0.7056 0.0867
S 0.2944 0.7056 0.4133
S 0.7056 0.2944 0.5867
S 0.7056 0.2944 0.9133
S 0.7281 0.2719 0.2500
S 0.9597 0.0403 0.6019
S 0.9597 0.0403 0.8981

Values from the calculation:
VASP energy (eV per atom): -5.485
Total magnetic moment (μB/atom): 0.000
DOS at the Fermi energy (states/eV/f.u.): 2.50



# 8
The following is a DFT calculation (PBE-GGA) of CoOs2Cl after structural relaxation.

Cell lengths 11.5891, 2.7296, 3.7992 Å; angles 90.00, 101.68, 90.00 degrees
Atoms (fractional coordinates):
Co 0.0000 0.0000 0.0000
Co 0.5000 0.5000 0.0000
Os 0.2007 0.5000 0.2132
Os 0.2993 0.0000 0.7868
Os 0.7007 0.0000 0.2132
Os 0.7993 0.5000 0.7868
Cl 0.0000 0.5000 0.5000
Cl 0.5000 0.0000 0.5000

Values from the calculation:
Total magnetic moment (μB/atom): 0.215
Distance to the lowest polymorph of the same formula (meV/atom): 203
DOS at the Fermi energy (states/eV/f.u.): 3.60



# 9
The following is a DFT calculation (PBE-GGA) of Nd8Dy3Y2 after structural relaxation.

Cell lengths 10.9661, 10.9661, 5.7569 Å; angles 90.02, 90.02, 41.30 degrees
Atoms (fractional coordinates):
Nd 0.0999 0.6892 0.9998
Nd 0.1716 0.1716 0.5008
Nd 0.3108 0.9001 0.0002
Nd 0.3690 0.3690 0.5005
Nd 0.6310 0.6310 0.4995
Nd 0.6892 0.0999 0.9998
Nd 0.8284 0.8284 0.4992
Nd 0.9001 0.3108 0.0002
Dy 0.2146 0.7854 0.5000
Dy 0.5000 0.5000 0.0000
Dy 0.7854 0.2146 0.5000
Y 0.2599 0.2599 0.0011
Y 0.7401 0.7401 0.9989

Values from the calculation:
Total magnetic moment (μB/atom): 0.000
ΔH_f (0 K) (eV/atom): 0.202
DOS at the Fermi energy (states/eV/f.u.): 19.05



# 10
The following is a DFT calculation (PBE-GGA) of Ho9In3O2 after structural relaxation.

Cell lengths 6.7807, 6.7807, 8.3260 Å; angles 90.00, 90.00, 120.00 degrees
Atoms (fractional coordinates):
Ho 0.0000 0.5000 0.0000
Ho 0.1679 0.3358 0.6680
Ho 0.1679 0.8321 0.6680
Ho 0.3358 0.1679 0.3320
Ho 0.5000 0.0000 0.0000
Ho 0.5000 0.5000 0.0000
Ho 0.6642 0.8321 0.6680
Ho 0.8321 0.1679 0.3320
Ho 0.8321 0.6642 0.3320
In 0.0000 0.0000 0.0000
In 0.3333 0.6667 0.3323
In 0.6667 0.3333 0.6677
O 0.3333 0.6667 0.8423
O 0.6667 0.3333 0.1577

Values from the calculation:
VASP energy (eV per atom): -5.302
Total magnetic moment (μB/atom): 0.000
DOS at the Fermi energy (states/eV/f.u.): 12.45



# 11
The following is a DFT calculation (PBE-GGA) of CaBe3Cl after structural relaxation.

Cell lengths 4.5405, 4.5405, 4.5405 Å; angles 90.00, 90.00, 90.00 degrees
Atoms (fractional coordinates):
Ca 0.0000 0.0000 0.0000
Be 0.0000 0.5000 0.5000
Be 0.5000 0.0000 0.5000
Be 0.5000 0.5000 0.0000
Cl 0.5000 0.5000 0.5000

Values from the calculation:
Total magnetic moment (μB/atom): 0.000
Distance to the lowest polymorph of the same formula (meV/atom): 0
DOS at the Fermi energy (states/eV/f.u.): 2.23



# 12
The following is a DFT calculation (PBE-GGA) of Sr2MgUS5 after structural relaxation.

Cell lengths 8.7338, 8.7338, 12.7489 Å; angles 90.00, 90.00, 152.89 degrees
Atoms (fractional coordinates):
Sr 0.1015 0.8985 0.5000
Sr 0.1284 0.8716 0.1206
Sr 0.8716 0.1284 0.6206
Sr 0.8985 0.1015 0.0000
Mg 0.4713 0.5287 0.2750
Mg 0.5287 0.4713 0.7750
U 0.2139 0.7861 0.8320
U 0.7861 0.2139 0.3320
S 0.0586 0.9414 0.8713
S 0.2800 0.7200 0.4739
S 0.3062 0.6938 0.1949
S 0.3711 0.6289 0.8167
S 0.4967 0.5033 0.5923
S 0.5033 0.4967 0.0923
S 0.6289 0.3711 0.3167
S 0.6938 0.3062 0.6949
S 0.7200 0.2800 0.9739
S 0.9414 0.0586 0.3713

Values from the calculation:
VASP energy (eV per atom): -5.807
Total magnetic moment (μB/atom): 0.222
DOS at the Fermi energy (states/eV/f.u.): 4.38